(1)
The following is a PBE-GGA calculation of an optimized crystal structure of Rb2Dy4Cu4Te9, from OQMD.

Cell: 8.0082 8.0082 17.6492 Å, 107.60 107.60 31.81°
Fractional coordinates of all 19 atoms:
Cu 0.7437 0.7437 0.2337
Cu 0.0798 0.0798 0.4776
Cu 0.9202 0.9202 0.5224
Cu 0.2563 0.2563 0.7663
Dy 0.1543 0.1543 0.0574
Dy 0.2723 0.2723 0.3999
Dy 0.7277 0.7277 0.6001
Dy 0.8457 0.8457 0.9426
Rb 0.4654 0.4654 0.2262
Rb 0.5346 0.5346 0.7738
Te 0.5000 0.5000 0.0000
Te 0.7994 0.7994 0.1033
Te 0.1485 0.1485 0.2267
Te 0.8978 0.8978 0.3692
Te 0.6339 0.6339 0.4209
Te 0.3661 0.3661 0.5791
Te 0.1022 0.1022 0.6308
Te 0.8515 0.8515 0.7733
Te 0.2006 0.2006 0.8967

## Properties
crystal system: monoclinic
space group: C2/m, No. 12
spin magnetization: 0.00 μB per atom



(2)
The following is a PBE-GGA calculation of an optimized crystal structure of GdFeSi2Ag, from OQMD.

Cell: 5.8556 5.8556 5.8556 Å, 138.95 138.95 59.45°
Each line ends with the local moment (μB).
Fractional coordinates of all 5 atoms:
Ag 0.7500 0.2500 0.5000  0.02
Fe 0.2500 0.7500 0.5000  2.00
Gd 0.0000 0.0000 0.0000  0.01
Si 0.3833 0.3833 0.0000  -0.02
Si 0.6167 0.6167 0.0000  -0.02

## Properties
crystal system: tetragonal
space group: I-4m2, No. 119
spin magnetization: 0.40 μB per atom



(3)
The following is a PBE-GGA calculation of an optimized crystal structure of GdAl3, from OQMD.

Cell: 4.8617 4.8617 4.8617 Å, 60.00 60.00 60.00°
Fractional coordinates of all 4 atoms:
Al 0.0000 0.0000 0.0000
Al 0.2500 0.2500 0.2500
Al 0.5000 0.5000 0.5000
Gd 0.7500 0.7500 0.7500

## Properties
crystal system: cubic
space group: Fm-3m, No. 225
spin magnetization: 0.00 μB per atom



(4)
The following is a PBE-GGA calculation of an optimized crystal structure of BaCdF4, from OQMD.

Cell: 4.2485 4.2485 10.2005 Å, 90.00 90.00 90.00°
Fractional coordinates of all 12 atoms:
Ba 0.0000 0.5000 0.3542
Ba 0.5000 0.0000 0.6458
Cd 0.5000 0.0000 0.0938
Cd 0.0000 0.5000 0.9062
F 0.0000 0.0000 0.1284
F 0.5000 0.5000 0.1284
F 0.5000 0.0000 0.3108
F 0.0000 0.0000 0.5000
F 0.5000 0.5000 0.5000
F 0.0000 0.5000 0.6892
F 0.0000 0.0000 0.8716
F 0.5000 0.5000 0.8716

## Properties
crystal system: tetragonal
space group: P4/nmm, No. 129



(5)
The following is a PBE-GGA calculation of an optimized crystal structure of Er2ScAl3Ge2Au, from OQMD.

Cell: 4.2033 6.9088 6.9088 Å, 119.25 90.00 90.00°
Fractional coordinates of all 9 atoms:
Al 0.5000 0.9999 0.2407
Al 0.5000 0.7599 0.7599
Al 0.5000 0.2407 0.9999
Au 0.0000 0.0107 0.0107
Er 0.0000 0.9971 0.5815
Er 0.0000 0.5815 0.9971
Ge 0.5000 0.6590 0.3353
Ge 0.5000 0.3353 0.6590
Sc 0.0000 0.4159 0.4159

## Properties
crystal system: orthorhombic
space group: Amm2, No. 38
spin magnetization: 0.00 μB per atom



(6)
The following is a PBE-GGA calculation of an optimized crystal structure of Cu15Ge, from OQMD.

Cell: 5.1005 2.5777 42.2010 Å, 90.00 90.01 90.00°
Fractional coordinates of all 32 atoms:
Cu 0.3749 0.2500 0.0214
Cu 0.8751 0.2500 0.0215
Cu 0.6250 0.7500 0.0643
Cu 0.1250 0.7500 0.0644
Cu 0.3753 0.2500 0.1073
Cu 0.8747 0.2500 0.1073
Cu 0.1250 0.7500 0.1500
Cu 0.6250 0.7500 0.1502
Cu 0.8755 0.2500 0.1928
Cu 0.3744 0.2500 0.1928
Cu 0.6251 0.7500 0.2354
Cu 0.1249 0.7500 0.2356
Cu 0.3742 0.2500 0.2785
Cu 0.8758 0.2500 0.2785
Cu 0.6249 0.7500 0.3211
Cu 0.3751 0.2500 0.6789
Cu 0.1242 0.7500 0.7215
Cu 0.6258 0.7500 0.7215
Cu 0.8751 0.2500 0.7644
Cu 0.3749 0.2500 0.7646
Cu 0.6256 0.7500 0.8072
Cu 0.1245 0.7500 0.8072
Cu 0.3750 0.2500 0.8498
Cu 0.8750 0.2500 0.8500
Cu 0.1253 0.7500 0.8927
Cu 0.6247 0.7500 0.8927
Cu 0.8750 0.2500 0.9356
Cu 0.3750 0.2500 0.9357
Cu 0.1249 0.7500 0.9785
Cu 0.6251 0.7500 0.9786
Ge 0.1251 0.7500 0.3255
Ge 0.8749 0.2500 0.6745

## Properties
energy above the most stable polymorph in this dataset: 7.6 meV per atom
crystal system: monoclinic
space group: P2_1/m, No. 11



(7)
The following is a PBE-GGA calculation of an optimized crystal structure of BeNbSiNi, from OQMD.

Cell: 4.1201 4.1201 4.1201 Å, 60.00 60.00 60.00°
Fractional coordinates of all 4 atoms:
Be 0.2500 0.2500 0.2500
Nb 0.5000 0.5000 0.5000
Ni 0.7500 0.7500 0.7500
Si 0.0000 0.0000 0.0000

## Properties
energy above the most stable polymorph in this dataset: 143.9 meV per atom
crystal system: cubic
space group: F-43m, No. 216
spin magnetization: 0.18 μB per atom



(8)
The following is a PBE-GGA calculation of an optimized crystal structure of TaAl2Mo2, from OQMD.

Cell: 6.6236 6.6236 6.6236 Å, 147.42 147.42 46.74°
Fractional coordinates of all 5 atoms:
Al 0.4034 0.4034 0.0000
Al 0.5966 0.5966 0.0000
Mo 0.7500 0.2500 0.5000
Mo 0.2500 0.7500 0.5000
Ta 0.0000 0.0000 0.0000

## Properties
energy above the most stable polymorph in this dataset: 0.0 meV per atom
crystal system: tetragonal
space group: I4/mmm, No. 139
spin magnetization: 0.00 μB per atom



(9)
The following is a PBE-GGA calculation of an optimized crystal structure of Y2CdOsC, from OQMD.

Cell: 5.0318 5.0318 3.9322 Å, 90.00 90.00 90.00°
Fractional coordinates of all 5 atoms:
C 0.0000 0.0000 0.0000
Cd 0.5000 0.5000 0.5000
Os 0.0000 0.0000 0.5000
Y 0.5000 0.0000 0.0000
Y 0.0000 0.5000 0.0000

## Properties
crystal system: tetragonal
space group: P4/mmm, No. 123
spin magnetization: 0.00 μB per atom



(10)
The following is a PBE-GGA calculation of an optimized crystal structure of BaLiUTe3, from OQMD.

Cell: 7.8569 7.8569 11.6359 Å, 90.00 90.00 146.37°
Each line ends with the local moment (μB).
Fractional coordinates of all 12 atoms:
Ba 0.2508 0.7492 0.2500  0.02
Ba 0.7492 0.2508 0.7500  0.02
Li 0.9723 0.0277 0.2500  0.00
Li 0.0277 0.9723 0.7500  0.00
Te 0.8626 0.1374 0.0601  -0.04
Te 0.5743 0.4257 0.2500  -0.03
Te 0.8626 0.1374 0.4399  -0.04
Te 0.1374 0.8626 0.5601  -0.04
Te 0.4257 0.5743 0.7500  -0.03
Te 0.1374 0.8626 0.9399  -0.04
U 0.5000 0.5000 0.0000  2.76
U 0.5000 0.5000 0.5000  2.76

## Properties
crystal system: orthorhombic
space group: Cmcm, No. 63
spin magnetization: 0.50 μB per atom



(11)
The following is a PBE-GGA calculation of an optimized crystal structure of Tb2HoAl3AgPt2, from OQMD.

Cell: 3.9198 7.3497 7.3497 Å, 119.90 90.00 90.00°
Fractional coordinates of all 9 atoms:
Ag 0.0000 0.9986 0.9986
Al 0.5000 0.2585 0.2585
Al 0.5000 0.9991 0.7419
Al 0.5000 0.7419 0.9991
Ho 0.0000 0.5844 0.5844
Pt 0.5000 0.6661 0.3351
Pt 0.5000 0.3351 0.6661
Tb 0.0000 0.4158 0.0005
Tb 0.0000 0.0005 0.4158

## Properties
crystal system: orthorhombic
space group: Amm2, No. 38
spin magnetization: 0.00 μB per atom



(12)
The following is a PBE-GGA calculation of an optimized crystal structure of PrEr2Cd3AgAu2, from OQMD.

Cell: 3.8717 7.9159 7.9159 Å, 120.57 90.00 90.00°
Fractional coordinates of all 9 atoms:
Ag 0.0000 0.9970 0.9970
Au 0.5000 0.6739 0.3314
Au 0.5000 0.3314 0.6739
Cd 0.5000 0.9963 0.2611
Cd 0.5000 0.7422 0.7422
Cd 0.5000 0.2611 0.9963
Er 0.0000 0.9998 0.5915
Er 0.0000 0.5915 0.9998
Pr 0.0000 0.4067 0.4067

## Properties
crystal system: orthorhombic
space group: Amm2, No. 38
ΔE_f: -0.57 eV per atom
spin magnetization: 0.00 μB per atom



(13)
The following is a PBE-GGA calculation of an optimized crystal structure of PaOsW, from OQMD.

Cell: 4.5277 4.5277 4.5277 Å, 60.00 60.00 60.00°
Fractional coordinates of all 3 atoms:
Os 0.0000 0.0000 0.0000
Pa 0.2500 0.2500 0.2500
W 0.7500 0.7500 0.7500

## Properties
energy above the most stable polymorph in this dataset: 0.0 meV per atom
crystal system: cubic
space group: F-43m, No. 216
ΔE_f: 0.52 eV per atom
spin magnetization: 0.00 μB per atom



(14)
The following is a PBE-GGA calculation of an optimized crystal structure of YTm6Te2Pd2, from OQMD.

Cell: 9.3281 9.3281 9.3281 Å, 155.82 66.96 118.62°
Fractional coordinates of all 11 atoms:
Pd 0.6441 0.4062 0.2378
Pd 0.1684 0.4062 0.7622
Te 0.1393 0.1393 0.0000
Te 0.7427 0.2427 0.5000
Tm 0.0228 0.8935 0.1294
Tm 0.4190 0.1022 0.3168
Tm 0.0969 0.7415 0.3554
Tm 0.3861 0.7415 0.6446
Tm 0.7853 0.1022 0.6832
Tm 0.7641 0.8935 0.8706
Y 0.4774 0.4774 0.0000

## Properties
crystal system: orthorhombic
space group: Imm2, No. 44
spin magnetization: 0.00 μB per atom



(15)
The following is a PBE-GGA calculation of an optimized crystal structure of ThTcAg, from OQMD.

Cell: 4.6805 4.6805 4.6805 Å, 60.00 60.00 60.00°
Each line ends with the local moment (μB).
Fractional coordinates of all 3 atoms:
Ag 0.0000 0.0000 0.0000  0.00
Tc 0.2500 0.2500 0.2500  0.74
Th 0.7500 0.7500 0.7500  -0.05

## Properties
crystal system: cubic
space group: F-43m, No. 216
ΔE_f: 0.68 eV per atom
spin magnetization: 0.25 μB per atom



(16)
The following is a PBE-GGA calculation of an optimized crystal structure of SrSnGe2Ir, from OQMD.

Cell: 6.1960 6.1960 6.1960 Å, 136.13 136.13 63.78°
Fractional coordinates of all 5 atoms:
Ge 0.7574 0.2574 0.5000
Ge 0.2574 0.7574 0.5000
Ir 0.3472 0.3472 0.0000
Sn 0.5940 0.5940 0.0000
Sr 0.0030 0.0030 0.0000

## Properties
crystal system: tetragonal
space group: I4mm, No. 107
spin magnetization: 0.00 μB per atom



(17)
The following is a PBE-GGA calculation of an optimized crystal structure of ZrPt, from OQMD.

Cell: 3.3481 3.3481 3.3481 Å, 90.00 90.00 90.00°
Fractional coordinates of all 2 atoms:
Pt 0.0000 0.0000 0.0000
Zr 0.5000 0.5000 0.5000

## Properties
crystal system: cubic
space group: Pm-3m, No. 221
ΔE_f: -0.91 eV per atom
spin magnetization: 0.00 μB per atom



(18)
The following is a PBE-GGA calculation of an optimized crystal structure of AlCuWAu, from OQMD.

Cell: 4.4465 4.4465 4.4465 Å, 60.00 60.00 60.00°
Fractional coordinates of all 4 atoms:
Al 0.0000 0.0000 0.0000
Au 0.2500 0.2500 0.2500
Cu 0.7500 0.7500 0.7500
W 0.5000 0.5000 0.5000

## Properties
energy above the most stable polymorph in this dataset: 9.8 meV per atom
crystal system: cubic
space group: F-43m, No. 216
spin magnetization: 0.41 μB per atom



(19)
The following is a PBE-GGA calculation of an optimized crystal structure of SrTmAlTe3, from OQMD.

Cell: 8.1607 8.1607 10.7165 Å, 90.00 90.00 149.15°
Fractional coordinates of all 12 atoms:
Al 0.5165 0.4835 0.2500
Al 0.4835 0.5165 0.7500
Sr 0.2264 0.7736 0.2500
Sr 0.7736 0.2264 0.7500
Te 0.6368 0.3632 0.0498
Te 0.8937 0.1063 0.2500
Te 0.6368 0.3632 0.4502
Te 0.3632 0.6368 0.5498
Te 0.1063 0.8937 0.7500
Te 0.3632 0.6368 0.9502
Tm 0.0000 0.0000 0.0000
Tm 0.0000 0.0000 0.5000

## Properties
crystal system: orthorhombic
space group: Cmcm, No. 63
spin magnetization: 0.00 μB per atom



(20)
The following is a PBE-GGA calculation of an optimized crystal structure of GdAgTe3Pb, from OQMD.

Cell: 9.0800 4.5893 17.9093 Å, 90.00 90.00 90.00°
Fractional coordinates of all 24 atoms:
Ag 0.8786 0.7500 0.1381
Ag 0.3786 0.7500 0.3619
Ag 0.6214 0.2500 0.6381
Ag 0.1214 0.2500 0.8619
Gd 0.2583 0.7500 0.0337
Gd 0.7583 0.7500 0.4663
Gd 0.2417 0.2500 0.5337
Gd 0.7417 0.2500 0.9663
Pb 0.5668 0.2500 0.2340
Pb 0.0668 0.2500 0.2660
Pb 0.9332 0.7500 0.7340
Pb 0.4332 0.7500 0.7660
Te 0.6109 0.7500 0.0615
Te 0.0277 0.2500 0.0865
Te 0.3029 0.7500 0.2094
Te 0.8029 0.7500 0.2906
Te 0.5277 0.2500 0.4135
Te 0.1109 0.7500 0.4385
Te 0.8891 0.2500 0.5615
Te 0.4723 0.7500 0.5865
Te 0.1971 0.2500 0.7094
Te 0.6971 0.2500 0.7906
Te 0.9723 0.7500 0.9135
Te 0.3891 0.2500 0.9385

## Properties
energy above the most stable polymorph in this dataset: 53.0 meV per atom
crystal system: orthorhombic
space group: Pnma, No. 62
spin magnetization: 0.00 μB per atom



(21)
The following is a PBE-GGA calculation of an optimized crystal structure of PrNdGa2Cl2, from OQMD.

Cell: 4.1994 4.1994 10.9814 Å, 90.00 90.00 120.00°
Fractional coordinates of all 6 atoms:
Cl 0.6667 0.3333 0.1591
Cl 0.3333 0.6667 0.8415
Ga 0.3333 0.6667 0.4705
Ga 0.6667 0.3333 0.5289
Nd 0.0000 0.0000 0.3056
Pr 0.0000 0.0000 0.6944

## Properties
crystal system: trigonal
space group: P3m1, No. 156
spin magnetization: 0.00 μB per atom



(22)
The following is a PBE-GGA calculation of an optimized crystal structure of RbHf3Bi5, from OQMD.

Cell: 6.0668 6.0668 9.1591 Å, 90.00 90.00 120.00°
Fractional coordinates of all 9 atoms:
Bi 0.6667 0.3333 0.2201
Bi 0.3333 0.6667 0.2201
Bi 0.0000 0.0000 0.5000
Bi 0.6667 0.3333 0.7799
Bi 0.3333 0.6667 0.7799
Hf 0.5000 0.0000 0.5000
Hf 0.0000 0.5000 0.5000
Hf 0.5000 0.5000 0.5000
Rb 0.0000 0.0000 0.0000

## Properties
crystal system: hexagonal
space group: P6/mmm, No. 191
spin magnetization: 0.00 μB per atom



(23)
The following is a PBE-GGA calculation of an optimized crystal structure of LiErFeTe3, from OQMD.

Cell: 7.3837 7.3837 11.2137 Å, 90.00 90.00 32.54°
Each line ends with the local moment (μB).
Fractional coordinates of all 12 atoms:
Er 0.0000 0.0000 0.0000  0.03
Er 0.0000 0.0000 0.5000  0.03
Fe 0.4746 0.4746 0.2500  3.06
Fe 0.5254 0.5254 0.7500  3.06
Li 0.7900 0.7900 0.2500  0.00
Li 0.2100 0.2100 0.7500  0.00
Te 0.3548 0.3548 0.0729  0.09
Te 0.0922 0.0922 0.2500  0.10
Te 0.3548 0.3548 0.4271  0.09
Te 0.6452 0.6452 0.5729  0.09
Te 0.9078 0.9078 0.7500  0.10
Te 0.6452 0.6452 0.9271  0.09

## Properties
crystal system: orthorhombic
space group: Cmcm, No. 63
spin magnetization: 0.63 μB per atom



Number 1: energy -81.8 eV for the cell shown. Number 2: energy -28.7 eV for the cell shown. Number 3: energy -16.2 eV for the cell shown. Number 4: energy -55.2 eV for the cell shown. Number 5: energy -45.5 eV for the cell shown. Number 6: energy -119.0 eV for the cell shown. Number 7: energy -24.8 eV for the cell shown. Number 8: energy -40.0 eV for the cell shown. Number 9: energy -36.3 eV for the cell shown. Number 10: energy -62.2 eV for the cell shown. Number 11: energy -47.9 eV for the cell shown. Number 12: energy -31.0 eV for the cell shown. Number 13: energy -32.1 eV for the cell shown. Number 14: energy -59.4 eV for the cell shown. Number 15: energy -18.5 eV for the cell shown. Number 16: energy -26.3 eV for the cell shown. Number 17: energy -16.4 eV for the cell shown. Number 18: energy -22.1 eV for the cell shown. Number 19: energy -49.6 eV for the cell shown. Number 20: energy -98.9 eV for the cell shown. Number 21: energy -27.7 eV for the cell shown. Number 22: energy -53.2 eV for the cell shown. Number 23: energy -57.2 eV for the cell shown.